1.
VASP calculation (PBE) on a relaxed structure of MnHgPb.

abc: 6.5188 6.5186 3.3817
angles: 74.97 74.96 30.07
Last column: nearest neighbours and their distance in Å.
Fractional coordinates of all 3 atoms:
Hg 0.0240 0.0240 0.9760  4 Mn 2.88
Mn 0.6563 0.6563 0.3437  4 Hg 2.88, 4 Pb 3.11
Pb 0.3198 0.3198 0.6802  4 Mn 3.11, 4 Pb 3.38, 4 Hg 3.44

The value obtained for the total energy is -12.2 eV/cell. The value obtained for the density of states at the Fermi level is 2.498 states/eV/f.u. Its energy relative to the lowest polymorph listed for this composition is 14.9 meV/atom. The value obtained for the magnetization is 4.0 μB per cell.

***

2.
VASP calculation (PBE) on a relaxed structure of MnHg2Pb.

abc: 5.0230 6.3733 3.4339
angles: 74.34 90.08 113.23
Last column: nearest neighbours and their distance in Å.
Fractional coordinates of all 4 atoms:
Hg 0.0000 0.0000 0.0000  4 Hg 3.04, 2 Pb 3.19, 2 Mn 3.19
Hg 0.5000 0.0000 0.5000  4 Hg 3.04, 2 Mn 3.19, 2 Pb 3.19
Mn 0.0000 0.5000 0.5000  4 Pb 3.04, 4 Hg 3.19
Pb 0.5000 0.5000 0.0000  4 Mn 3.04, 4 Hg 3.19

The value obtained for the total energy is -12.2 eV/cell. The value obtained for the density of states at the Fermi level is 2.171 states/eV/f.u. The value obtained for the magnetization is 4.0 μB per cell.

***

3.
VASP calculation (PBE) on a relaxed structure of Mn2HgPb.

abc: 3.3168 3.3168 7.4416
angles: 90.00 90.00 90.00
Last column: nearest neighbours and their distance in Å.
Fractional coordinates of all 4 atoms:
Hg 0.5000 0.5000 0.8016  5 Mn 2.86-3.05
Mn 0.0000 0.0000 0.0206  4 Mn 2.74, 4 Hg 2.86
Mn 0.5000 0.5000 0.2117  4 Mn 2.74, 4 Pb 3.01, 1 Hg 3.05
Pb 0.0000 0.0000 0.4660  5 Mn 3.01-3.31, 4 Pb 3.32

The value obtained for the total energy is -20.8 eV/cell. The value obtained for the density of states at the Fermi level is 2.252 states/eV/f.u. The value obtained for the magnetization is 7.3 μB per cell.

***

| no. | energy relative to the elements (meV/atom) |
| --- | --- |
| 1 | 327 |
| 2 | 322 |
| 3 | 399 |